a:
Entry from the Alexandria database: a relaxed structure of SrGaTe2I (PBEsol).

Lattice parameters (Å, degrees): 6.066 6.066 6.199 90.00 90.00 90.00
Fractional positions:
Sr (0.000, 0.000, 0.000)
Ga (0.500, 0.500, 0.500)
Te (0.000, 0.500, 0.000)
Te (0.500, 0.000, 0.000)
I (0.000, 0.000, 0.500)

Properties
SG	P4/mmm, No. 123
magnetic moment	0.005	μB per cell

---

b:
Entry from the Alexandria database: a relaxed structure of SrGaTe2I (PBEsol).

Lattice parameters (Å, degrees): 5.360 5.360 5.737 90.00 90.00 90.00
Fractional positions:
Sr (0.000, 0.000, 0.000)
Ga (0.500, 0.500, 0.500)
Te (0.000, 0.500, 0.500)
Te (0.500, 0.000, 0.500)
I (0.500, 0.500, 0.000)

Properties
SG	P4/mmm, No. 123
magnetic moment	0.000	μB per cell

---

Most stable to least stable: b, a

---

a:
Entry from the Alexandria database: a relaxed structure of TlGaI2 (PBEsol).

Lattice parameters (Å, degrees): 9.080 9.080 9.080 130.93 130.93 71.92
Fractional positions:
Tl (0.000, 0.000, 0.000)
Tl (0.750, 0.250, 0.500)
Ga (0.250, 0.750, 0.500)
Ga (0.500, 0.500, 0.000)
I (0.150, 0.625, 0.025)
I (0.375, 0.400, 0.525)
I (0.600, 0.125, 0.975)
I (0.875, 0.850, 0.475)

Properties
SG	I-42d, No. 122
magnetic moment	0.000	μB per cell

---

b:
Entry from the Alexandria database: a relaxed structure of TlGaI2 (PBEsol).

Lattice parameters (Å, degrees): 5.705 5.705 5.705 60.00 60.00 60.00
Fractional positions:
Tl (0.000, 0.000, 0.000)
Ga (0.500, 0.500, 0.500)
I (0.250, 0.250, 0.250)
I (0.750, 0.750, 0.750)

Properties
SG	Fm-3m, No. 225
magnetic moment	0.000	μB per cell

---

Most stable to least stable: b, a

---

a:
Entry from the Alexandria database: a relaxed structure of Tl2InGa2 (PBEsol).

Lattice parameters (Å, degrees): 9.307 9.307 9.307 156.97 156.97 32.79
Fractional positions:
Tl (0.109, 0.109, 0.000)
Tl (0.891, 0.891, 0.000)
In (0.500, 0.500, 0.000)
Ga (0.250, 0.750, 0.500)
Ga (0.750, 0.250, 0.500)

Properties
SG	I4/mmm, No. 139
magnetic moment	0.000	μB per cell

---

b:
Entry from the Alexandria database: a relaxed structure of Tl2InGa2 (PBEsol).

Lattice parameters (Å, degrees): 7.263 7.263 4.617 90.00 90.00 90.00
Fractional positions:
Tl (0.174, 0.326, 0.000)
Tl (0.326, 0.826, 0.000)
Tl (0.674, 0.174, 0.000)
Tl (0.826, 0.674, 0.000)
In (0.000, 0.000, 0.500)
In (0.500, 0.500, 0.500)
Ga (0.128, 0.628, 0.500)
Ga (0.372, 0.128, 0.500)
Ga (0.628, 0.872, 0.500)
Ga (0.872, 0.372, 0.500)

Properties
SG	P4/mbm, No. 127
magnetic moment	0.000	μB per cell

---

Most stable to least stable: b, a

---

a:
Entry from the Alexandria database: a relaxed structure of Tl2In2Ga (PBEsol).

Lattice parameters (Å, degrees): 8.121 8.121 8.121 149.33 149.33 43.92
Fractional positions:
Tl (0.250, 0.750, 0.500)
Tl (0.750, 0.250, 0.500)
In (0.094, 0.094, 0.000)
In (0.906, 0.906, 0.000)
Ga (0.500, 0.500, 0.000)

Properties
SG	I4/mmm, No. 139
magnetic moment	0.000	μB per cell

---

b:
Entry from the Alexandria database: a relaxed structure of Tl2In2Ga (PBEsol).

Lattice parameters (Å, degrees): 7.327 7.327 4.912 90.00 90.00 90.00
Fractional positions:
Tl (0.168, 0.332, 0.000)
Tl (0.332, 0.832, 0.000)
Tl (0.668, 0.168, 0.000)
Tl (0.832, 0.668, 0.000)
In (0.143, 0.643, 0.500)
In (0.357, 0.143, 0.500)
In (0.643, 0.857, 0.500)
In (0.857, 0.357, 0.500)
Ga (0.000, 0.000, 0.500)
Ga (0.500, 0.500, 0.500)

Properties
SG	P4/mbm, No. 127
magnetic moment	0.000	μB per cell

---

Most stable to least stable: b, a

---

a:
Entry from the Alexandria database: a relaxed structure of KGaMo3 (PBEsol).

Lattice parameters (Å, degrees): 4.429 4.429 4.429 90.00 90.00 90.00
Fractional positions:
K (0.000, 0.000, 0.000)
Ga (0.500, 0.500, 0.500)
Mo (0.000, 0.000, 0.500)
Mo (0.000, 0.500, 0.000)
Mo (0.500, 0.000, 0.000)

Properties
SG	Pm-3m, No. 221
magnetic moment	0.001	μB per cell

---

b:
Entry from the Alexandria database: a relaxed structure of KGaMo3 (PBEsol).

Lattice parameters (Å, degrees): 4.742 4.742 4.742 90.00 90.00 90.00
Fractional positions:
K (0.000, 0.000, 0.000)
Ga (0.500, 0.500, 0.500)
Mo (0.000, 0.500, 0.500)
Mo (0.500, 0.000, 0.500)
Mo (0.500, 0.500, 0.000)

Properties
SG	Pm-3m, No. 221
magnetic moment	0.003	μB per cell

---

Most stable to least stable: b, a

---

a:
Entry from the Alexandria database: a relaxed structure of KGa3Rh (PBEsol).

Lattice parameters (Å, degrees): 5.130 5.130 5.130 90.00 90.00 90.00
Fractional positions:
K (0.000, 0.000, 0.000)
Ga (0.000, 0.000, 0.500)
Ga (0.000, 0.500, 0.000)
Ga (0.500, 0.000, 0.000)
Rh (0.500, 0.500, 0.500)

Properties
SG	Pm-3m, No. 221
magnetic moment	0.002	μB per cell

---

b:
Entry from the Alexandria database: a relaxed structure of KGa3Rh (PBEsol).

Lattice parameters (Å, degrees): 4.799 4.799 4.799 90.00 90.00 90.00
Fractional positions:
K (0.000, 0.000, 0.000)
Ga (0.000, 0.500, 0.500)
Ga (0.500, 0.000, 0.500)
Ga (0.500, 0.500, 0.000)
Rh (0.500, 0.500, 0.500)

Properties
SG	Pm-3m, No. 221
magnetic moment	0.002	μB per cell

---

Most stable to least stable: b, a

---

a:
Entry from the Alexandria database: a relaxed structure of LaGa2Pd2 (PBEsol).

Lattice parameters (Å, degrees): 6.108 6.108 6.108 139.21 139.21 59.05
Fractional positions:
La (0.000, 0.000, 0.000)
Ga (0.250, 0.750, 0.500)
Ga (0.750, 0.250, 0.500)
Pd (0.376, 0.376, 0.000)
Pd (0.624, 0.624, 0.000)

Properties
SG	I4/mmm, No. 139
magnetic moment	0.000	μB per cell

---

b:
Entry from the Alexandria database: a relaxed structure of LaGa2Pd2 (PBEsol).

Lattice parameters (Å, degrees): 4.366 4.366 9.984 90.00 90.00 90.00
Fractional positions:
La (0.250, 0.250, 0.250)
La (0.750, 0.750, 0.750)
Ga (0.250, 0.250, 0.625)
Ga (0.250, 0.750, 0.000)
Ga (0.750, 0.250, 0.000)
Ga (0.750, 0.750, 0.375)
Pd (0.250, 0.250, 0.872)
Pd (0.250, 0.750, 0.500)
Pd (0.750, 0.250, 0.500)
Pd (0.750, 0.750, 0.128)

Properties
SG	P4/nmm, No. 129
magnetic moment	0.000	μB per cell

---

Most stable to least stable: b, a

---

a:
Entry from the Alexandria database: a relaxed structure of LaSc2Ga2 (PBEsol).

Lattice parameters (Å, degrees): 6.471 6.471 6.471 137.69 137.69 61.38
Fractional positions:
La (0.000, 0.000, 0.000)
Sc (0.361, 0.361, 0.000)
Sc (0.639, 0.639, 0.000)
Ga (0.250, 0.750, 0.500)
Ga (0.750, 0.250, 0.500)

Properties
SG	I4/mmm, No. 139
magnetic moment	0.000	μB per cell

---

b:
Entry from the Alexandria database: a relaxed structure of LaSc2Ga2 (PBEsol).

Lattice parameters (Å, degrees): 6.823 6.823 6.823 142.60 142.60 53.92
Fractional positions:
La (0.000, 0.000, 0.000)
Sc (0.250, 0.750, 0.500)
Sc (0.750, 0.250, 0.500)
Ga (0.398, 0.398, 0.000)
Ga (0.602, 0.602, 0.000)

Properties
SG	I4/mmm, No. 139
magnetic moment	0.000	μB per cell

---

Most stable to least stable: b, a

---

a:
Entry from the Alexandria database: a relaxed structure of La2Zn2Ga (PBEsol).

Lattice parameters (Å, degrees): 6.936 6.936 4.734 90.00 90.00 90.00
Fractional positions:
La (0.174, 0.326, 0.000)
La (0.326, 0.826, 0.000)
La (0.674, 0.174, 0.000)
La (0.826, 0.674, 0.000)
Zn (0.130, 0.630, 0.500)
Zn (0.370, 0.130, 0.500)
Zn (0.630, 0.870, 0.500)
Zn (0.870, 0.370, 0.500)
Ga (0.000, 0.000, 0.500)
Ga (0.500, 0.500, 0.500)

Properties
SG	P4/mbm, No. 127
magnetic moment	0.000	μB per cell

---

b:
Entry from the Alexandria database: a relaxed structure of La2Zn2Ga (PBEsol).

Lattice parameters (Å, degrees): 9.803 9.803 9.803 159.06 159.06 29.79
Fractional positions:
La (0.102, 0.102, 0.000)
La (0.898, 0.898, 0.000)
Zn (0.250, 0.750, 0.500)
Zn (0.750, 0.250, 0.500)
Ga (0.500, 0.500, 0.000)

Properties
SG	I4/mmm, No. 139
magnetic moment	0.002	μB per cell

---

Most stable to least stable: a, b

---

a:
Entry from the Alexandria database: a relaxed structure of Li2GaSb (PBEsol).

Lattice parameters (Å, degrees): 9.866 9.866 9.866 156.06 156.06 34.11
Fractional positions:
Li (0.118, 0.625, 0.993)
Li (0.375, 0.368, 0.493)
Li (0.632, 0.125, 0.007)
Li (0.875, 0.882, 0.507)
Ga (0.000, 0.000, 0.000)
Ga (0.750, 0.250, 0.500)
Sb (0.250, 0.750, 0.500)
Sb (0.500, 0.500, 0.000)

Properties
SG	I-42d, No. 122
magnetic moment	0.000	μB per cell

---

b:
Entry from the Alexandria database: a relaxed structure of Li2GaSb (PBEsol).

Lattice parameters (Å, degrees): 4.698 4.698 4.698 60.00 60.00 60.00
Fractional positions:
Li (0.250, 0.250, 0.250)
Li (0.750, 0.750, 0.750)
Ga (0.000, 0.000, 0.000)
Sb (0.500, 0.500, 0.500)

Properties
SG	Fm-3m, No. 225
magnetic moment	0.000	μB per cell

---

Most stable to least stable: b, a

---

a:
Entry from the Alexandria database: a relaxed structure of Li2Ga2Sn (PBEsol).

Lattice parameters (Å, degrees): 6.831 6.831 6.831 147.09 147.09 47.24
Fractional positions:
Li (0.250, 0.750, 0.500)
Li (0.750, 0.250, 0.500)
Ga (0.100, 0.100, 0.000)
Ga (0.900, 0.900, 0.000)
Sn (0.500, 0.500, 0.000)

Properties
SG	I4/mmm, No. 139
magnetic moment	0.000	μB per cell

---

b:
Entry from the Alexandria database: a relaxed structure of Li2Ga2Sn (PBEsol).

Lattice parameters (Å, degrees): 7.563 7.563 3.060 90.00 90.00 90.00
Fractional positions:
Li (0.178, 0.322, 0.000)
Li (0.322, 0.822, 0.000)
Li (0.678, 0.178, 0.000)
Li (0.822, 0.678, 0.000)
Ga (0.120, 0.620, 0.500)
Ga (0.380, 0.120, 0.500)
Ga (0.620, 0.880, 0.500)
Ga (0.880, 0.380, 0.500)
Sn (0.000, 0.000, 0.500)
Sn (0.500, 0.500, 0.500)

Properties
SG	P4/mbm, No. 127
magnetic moment	0.000	μB per cell

---

Most stable to least stable: b, a

---

a:
Entry from the Alexandria database: a relaxed structure of Sr2LiGa2 (PBEsol).

Lattice parameters (Å, degrees): 5.894 5.894 5.894 116.75 116.75 95.73
Fractional positions:
Sr (0.250, 0.750, 0.500)
Sr (0.750, 0.250, 0.500)
Li (0.000, 0.000, 0.000)
Ga (0.349, 0.349, 0.000)
Ga (0.651, 0.651, 0.000)

Properties
SG	I4/mmm, No. 139
magnetic moment	0.000	μB per cell

---

b:
Entry from the Alexandria database: a relaxed structure of Sr2LiGa2 (PBEsol).

Lattice parameters (Å, degrees): 8.418 8.418 4.117 90.00 90.00 90.00
Fractional positions:
Sr (0.181, 0.319, 0.000)
Sr (0.319, 0.819, 0.000)
Sr (0.681, 0.181, 0.000)
Sr (0.819, 0.681, 0.000)
Li (0.000, 0.000, 0.500)
Li (0.500, 0.500, 0.500)
Ga (0.111, 0.611, 0.500)
Ga (0.389, 0.111, 0.500)
Ga (0.611, 0.889, 0.500)
Ga (0.889, 0.389, 0.500)

Properties
SG	P4/mbm, No. 127
magnetic moment	0.000	μB per cell

---

Most stable to least stable: b, a

---

a:
Entry from the Alexandria database: a relaxed structure of Li2GaTe (PBEsol).

Lattice parameters (Å, degrees): 4.812 4.812 4.812 60.00 60.00 60.00
Fractional positions:
Li (0.250, 0.250, 0.250)
Li (0.750, 0.750, 0.750)
Ga (0.000, 0.000, 0.000)
Te (0.500, 0.500, 0.500)

Properties
SG	Fm-3m, No. 225
magnetic moment	0.000	μB per cell

---

b:
Entry from the Alexandria database: a relaxed structure of Li2GaTe (PBEsol).

Lattice parameters (Å, degrees): 9.422 9.422 9.422 152.47 152.47 39.32
Fractional positions:
Li (0.120, 0.625, 0.995)
Li (0.375, 0.370, 0.495)
Li (0.630, 0.125, 0.005)
Li (0.875, 0.880, 0.505)
Ga (0.250, 0.750, 0.500)
Ga (0.500, 0.500, 0.000)
Te (0.000, 0.000, 0.000)
Te (0.750, 0.250, 0.500)

Properties
SG	I-42d, No. 122
magnetic moment	0.000	μB per cell

---

Most stable to least stable: a, b